Record 1
# GGA-PBE SrSb2Pb, relaxed
data_SrSb2Pb
_chemical_formula_sum 'Sr4 Sb8 Pb4'
_cell_length_a 8.3233
_cell_length_b 8.3233
_cell_length_c 7.4492
_cell_angle_alpha 90.00
_cell_angle_beta 90.00
_cell_angle_gamma 90.00
_space_group_name_H-M_alt 'I 4/m c m'
_space_group_IT_number 140
_space_group_name_Hall '-I 4 2c'
loop_
_atom_site_label
_atom_site_fract_x
_atom_site_fract_y
_atom_site_fract_z
Sr1 0.0000 0.0000 0.2500
Sb1 0.2089 0.2911 0.0000
Pb1 0.0000 0.5000 0.2500
# Total energy (eV/atom): -3.821
# ρ (Mg/m³): 6.93


Record 2
# GGA-PBE GaPt, relaxed
data_GaPt
_chemical_formula_sum 'Ga4 Pt4'
_cell_length_a 5.1634
_cell_length_b 5.1634
_cell_length_c 5.1634
_cell_angle_alpha 90.00
_cell_angle_beta 90.00
_cell_angle_gamma 90.00
_space_group_name_H-M_alt 'F m -3 m'
_space_group_IT_number 225
_space_group_name_Hall '-F 4 2 3'
loop_
_atom_site_label
_atom_site_fract_x
_atom_site_fract_y
_atom_site_fract_z
Ga1 0.0000 0.0000 0.0000
Pt1 0.0000 0.0000 0.5000
# Calculated formation energy (eV per atom): -0.38
# ρ (Mg/m³): 12.78


Record 3
# GGA-PBE Tm3Tl3CuSe8, relaxed
data_Tm3Tl3CuSe8
_chemical_formula_sum 'Tm6 Tl6 Cu2 Se16'
_cell_length_a 13.9966
_cell_length_b 8.0852
_cell_length_c 9.0560
_cell_angle_alpha 90.00
_cell_angle_beta 120.99
_cell_angle_gamma 90.00
_space_group_name_H-M_alt 'C 1 2/m 1'
_space_group_IT_number 12
loop_
_space_group_symop_operation_xyz
'x,y,z'
'-x,-y,-z'
'-x,y,-z'
'x,-y,z'
'x+1/2,y+1/2,z'
'-x+1/2,-y+1/2,-z'
'-x+1/2,y+1/2,-z'
'x+1/2,-y+1/2,z'
loop_
_atom_site_label
_atom_site_fract_x
_atom_site_fract_y
_atom_site_fract_z
Tm1 0.0000 0.0000 0.0000
Tm2 0.2500 0.2500 0.0000
Tl1 0.0000 0.5000 0.5000
Tl2 0.2500 0.2500 0.5000
Cu1 0.0000 0.5000 0.0000
Se1 0.0147 0.2647 0.8087
Se2 0.2186 0.5000 0.1898
Se3 0.2353 0.0000 0.2057
# Total energy (eV/atom): -4.496
# ρ (Mg/m³): 6.86


Density of states at the Fermi level, record by record: 0.9462 0.5145 0.6178 states/eV/atom
V, record by record: 32.3 17.2 29.3 Å³/atom
M_tot, record by record: 0.00 0.00 0.00 μB per cell